# 1
Here is ZrCN3 after structural relaxation from the Alexandria database. Energies are from PBE.

Unit cell a=3.442 b=3.442 c=3.442 alpha=90.00 beta=90.00 gamma=90.00
Positions (direct):
Zr 0.000 0.000 0.000
C 0.500 0.500 0.500
N 0.000 0.500 0.500
N 0.500 0.000 0.500
N 0.500 0.500 0.000

Computed properties:
Uncorrected energy = -7.451 eV per atom
D(E_F) = 3.475 states/eV/cell
Space-group type = Pm-3m, No. 221
ΔE_f (raw) = 1.0988 eV/atom

***

# 2
Here is ZrC2N after structural relaxation from the Alexandria database. Energies are from PBE.

Unit cell a=4.671 b=4.671 c=4.671 alpha=114.53 beta=114.53 gamma=99.76
Positions (direct):
Zr 0.000 0.000 0.000
Zr 0.750 0.250 0.500
C 0.240 0.125 0.615
C 0.375 0.760 0.885
C 0.510 0.625 0.385
C 0.875 0.490 0.115
N 0.250 0.750 0.500
N 0.500 0.500 0.000

Computed properties:
Uncorrected energy = -7.765 eV per atom
D(E_F) = 2.383 states/eV/cell
Space-group type = I-42d, No. 122
ΔE_f (raw) = 1.0657 eV/atom

***

# 3
Here is Zr6CN after structural relaxation from the Alexandria database. Energies are from PBE.

Unit cell a=5.720 b=5.720 c=10.634 alpha=90.00 beta=90.00 gamma=120.00
Positions (direct):
Zr 0.014 0.333 0.124
Zr 0.014 0.681 0.376
Zr 0.319 0.333 0.376
Zr 0.319 0.986 0.124
Zr 0.333 0.014 0.624
Zr 0.333 0.319 0.876
Zr 0.667 0.681 0.124
Zr 0.667 0.986 0.376
Zr 0.681 0.014 0.876
Zr 0.681 0.667 0.624
Zr 0.986 0.319 0.624
Zr 0.986 0.667 0.876
C 0.333 0.667 0.250
C 0.667 0.333 0.750
N 0.000 0.000 0.000
N 0.000 0.000 0.500

Computed properties:
Uncorrected energy = -9.240 eV per atom
D(E_F) = 14.915 states/eV/cell
Space-group type = P-31c, No. 163
ΔE_f (raw) = -0.6354 eV/atom

***

# 4
Here is Zr4CN2 after structural relaxation from the Alexandria database. Energies are from PBE.

Unit cell a=5.607 b=5.607 c=11.173 alpha=90.00 beta=90.00 gamma=146.16
Positions (direct):
Zr 0.000 0.000 0.000
Zr 0.000 0.000 0.500
Zr 0.277 0.723 0.618
Zr 0.277 0.723 0.882
Zr 0.449 0.551 0.250
Zr 0.551 0.449 0.750
Zr 0.723 0.277 0.118
Zr 0.723 0.277 0.382
C 0.103 0.897 0.250
C 0.897 0.103 0.750
N 0.362 0.638 0.065
N 0.362 0.638 0.435
N 0.638 0.362 0.565
N 0.638 0.362 0.935

Computed properties:
Uncorrected energy = -9.699 eV per atom
D(E_F) = 3.340 states/eV/cell
Space-group type = Cmcm, No. 63
ΔE_f (raw) = -1.1175 eV/atom
Polymorph energy (0 for the lowest one) = 0.082 eV/atom